Computed, not measured: an optimized crystal structure of Ac2Pm3Pb2 at the PBE level of DFT.

Output
Magnetization   0.0958 μB per atom
Crystal system   monoclinic
Final energy   -4.596 eV/atom

Unit cell a=6.866 b=6.866 c=9.132 alpha=110.12 beta=110.12 gamma=39.83
Fractional coordinates of all 7 atoms:
Ac  0.142  0.142  0.297
Ac  0.858  0.858  0.703
Pm  0.373  0.373  0.054
Pm  0.500  0.500  0.500
Pm  0.627  0.627  0.946
Pb  0.159  0.159  0.712
Pb  0.841  0.841  0.288



Computed, not measured: an optimized crystal structure of CuAuSe3 at the PBE level of DFT.

Output
E_form (uncorrected)   0.656 eV/atom
Energy relative to the lowest polymorph listed for this composition   0.710 eV per atom
Magnetization   0.0000 μB per atom
Crystal system   cubic

Unit cell a=4.790 b=4.790 c=4.790 alpha=90.00 beta=90.00 gamma=90.00
Fractional coordinates of all 5 atoms:
Cu  0.000  0.000  0.000
Au  0.500  0.500  0.500
Se  0.000  0.000  0.500
Se  0.000  0.500  0.000
Se  0.500  0.000  0.000



Computed, not measured: an optimized crystal structure of FeTc2N at the PBE level of DFT.

Output
E_form (uncorrected)   0.247 eV/atom
Magnetization   0.6029 μB per atom
Crystal system   trigonal

Unit cell a=7.405 b=7.405 c=7.405 alpha=21.35 beta=21.35 gamma=21.35
Fractional coordinates of all 4 atoms:
Fe  0.000  0.000  0.000
Tc  0.233  0.233  0.233
Tc  0.767  0.767  0.767
N  0.500  0.500  0.500



Computed, not measured: an optimized crystal structure of RbInCl3 at the PBE level of DFT.

Output
E_form (uncorrected)   -1.344 eV/atom
Magnetization   0.0000 μB per atom
Crystal system   monoclinic

Unit cell a=10.201 b=8.444 c=9.821 alpha=90.00 beta=118.69 gamma=90.00
Fractional coordinates of all 20 atoms:
Rb  0.124  0.249  0.062
Rb  0.124  0.251  0.562
Rb  0.876  0.749  0.438
Rb  0.876  0.751  0.938
In  0.296  0.636  0.897
In  0.296  0.864  0.397
In  0.704  0.136  0.603
In  0.704  0.364  0.103
Cl  0.014  0.520  0.758
Cl  0.014  0.980  0.258
Cl  0.283  0.747  0.640
Cl  0.283  0.753  0.140
Cl  0.378  0.163  0.440
Cl  0.378  0.337  0.940
Cl  0.622  0.663  0.060
Cl  0.622  0.837  0.560
Cl  0.717  0.247  0.860
Cl  0.717  0.253  0.360
Cl  0.986  0.020  0.742
Cl  0.986  0.480  0.242



Computed, not measured: an optimized crystal structure of BaCr2Mo at the PBE level of DFT.

Output
Energy relative to the lowest polymorph listed for this composition   0.048 eV per atom
Magnetization   0.0001 μB per atom
Crystal system   monoclinic

Unit cell a=3.063 b=3.670 c=7.503 alpha=90.00 beta=96.71 gamma=90.00
Fractional coordinates of all 4 atoms:
Ba  0.000  0.000  0.000
Cr  0.475  0.500  0.347
Cr  0.832  0.000  0.476
Mo  0.313  0.500  0.626



Computed, not measured: an optimized crystal structure of HfIn3N at the PBE level of DFT.

Output
E_form (uncorrected)   0.637 eV/atom
Energy relative to the lowest polymorph listed for this composition   0.000 eV per atom
Magnetization   0.2210 μB per atom
Crystal system   cubic

Unit cell a=4.685 b=4.685 c=4.685 alpha=90.00 beta=90.00 gamma=90.00
Fractional coordinates of all 5 atoms:
Hf  0.000  0.000  0.000
In  0.000  0.500  0.500
In  0.500  0.000  0.500
In  0.500  0.500  0.000
N  0.500  0.500  0.500



Computed, not measured: an optimized crystal structure of HoZn4Ag4 at the PBE level of DFT.

Output
Magnetization   0.0000 μB per atom
Crystal system   tetragonal
Final energy   -2.384 eV/atom

Unit cell a=6.427 b=6.427 c=6.427 alpha=97.67 beta=97.67 gamma=137.14
Fractional coordinates of all 9 atoms:
Ho  0.000  0.000  0.000
Zn  0.289  0.385  0.674
Zn  0.385  0.711  0.095
Zn  0.615  0.289  0.905
Zn  0.711  0.615  0.326
Ag  0.079  0.644  0.723
Ag  0.356  0.079  0.436
Ag  0.644  0.921  0.564
Ag  0.921  0.356  0.277



Computed, not measured: an optimized crystal structure of Al2CrIn2 at the PBE level of DFT.

Output
Energy relative to the lowest polymorph listed for this composition   0.208 eV per atom
Magnetization   0.0128 μB per atom
Crystal system   tetragonal

Unit cell a=8.252 b=8.252 c=8.252 alpha=154.67 beta=154.67 gamma=36.13
Fractional coordinates of all 5 atoms:
Al  0.250  0.750  0.500
Al  0.750  0.250  0.500
Cr  0.000  0.000  0.000
In  0.408  0.408  0.000
In  0.592  0.592  0.000



Computed, not measured: an optimized crystal structure of Ag2PIrN at the PBE level of DFT.

Output
E_form (uncorrected)   1.060 eV/atom
Energy relative to the lowest polymorph listed for this composition   0.000 eV per atom
Magnetization   0.0000 μB per atom
Crystal system   tetragonal

Unit cell a=4.957 b=4.957 c=3.200 alpha=90.00 beta=90.00 gamma=90.00
Fractional coordinates of all 5 atoms:
Ag  0.000  0.500  0.000
Ag  0.500  0.000  0.000
P  0.000  0.000  0.000
Ir  0.500  0.500  0.500
N  0.000  0.000  0.500



Computed, not measured: an optimized crystal structure of GaSn3Hg at the PBE level of DFT.

Output
Energy relative to the lowest polymorph listed for this composition   0.263 eV per atom
Magnetization   0.0000 μB per atom
Crystal system   cubic

Unit cell a=5.385 b=5.385 c=5.385 alpha=90.00 beta=90.00 gamma=90.00
Fractional coordinates of all 5 atoms:
Ga  0.000  0.000  0.000
Sn  0.000  0.000  0.500
Sn  0.000  0.500  0.000
Sn  0.500  0.000  0.000
Hg  0.500  0.500  0.500



Computed, not measured: an optimized crystal structure of Y3PbO at the PBE level of DFT.

Output
E_form (uncorrected)   -1.408 eV/atom
Magnetization   0.0000 μB per atom
Crystal system   triclinic

Unit cell a=5.365 b=7.079 c=7.087 alpha=77.58 beta=89.81 gamma=89.69
Fractional coordinates of all 10 atoms:
Y  0.247  0.393  0.399
Y  0.251  0.900  0.310
Y  0.252  0.322  0.904
Y  0.748  0.678  0.096
Y  0.749  0.100  0.690
Y  0.753  0.607  0.601
Pb  0.255  0.820  0.812
Pb  0.745  0.180  0.188
O  0.000  0.345  0.660
O  0.000  0.655  0.340



Computed, not measured: an optimized crystal structure of Sc2TlPb at the PBE level of DFT.

Output
Energy relative to the lowest polymorph listed for this composition   0.455 eV per atom
Magnetization   0.4860 μB per atom
Crystal system   cubic

Unit cell a=5.314 b=5.314 c=5.314 alpha=60.00 beta=60.00 gamma=60.00
Fractional coordinates of all 4 atoms:
Sc  0.000  0.000  0.000
Sc  0.250  0.250  0.250
Tl  0.500  0.500  0.500
Pb  0.750  0.750  0.750



Question: Among the records above, which one has the highest magnetization?
Answer: FeTc2N



What did the eighth record say?
Computed, not measured: an optimized crystal structure of Al2CrIn2 at the PBE level of DFT.

Output
Energy relative to the lowest polymorph listed for this composition   0.208 eV per atom
Magnetization   0.0128 μB per atom
Crystal system   tetragonal

Unit cell a=8.252 b=8.252 c=8.252 alpha=154.67 beta=154.67 gamma=36.13
Fractional coordinates of all 5 atoms:
Al  0.250  0.750  0.500
Al  0.750  0.250  0.500
Cr  0.000  0.000  0.000
In  0.408  0.408  0.000
In  0.592  0.592  0.000



Question: Look up the magnetization of the ninth one.
Answer: 0.0000 μB per atom



What did the fourth record say?
Computed, not measured: an optimized crystal structure of RbInCl3 at the PBE level of DFT.

Output
E_form (uncorrected)   -1.344 eV/atom
Magnetization   0.0000 μB per atom
Crystal system   monoclinic

Unit cell a=10.201 b=8.444 c=9.821 alpha=90.00 beta=118.69 gamma=90.00
Fractional coordinates of all 20 atoms:
Rb  0.124  0.249  0.062
Rb  0.124  0.251  0.562
Rb  0.876  0.749  0.438
Rb  0.876  0.751  0.938
In  0.296  0.636  0.897
In  0.296  0.864  0.397
In  0.704  0.136  0.603
In  0.704  0.364  0.103
Cl  0.014  0.520  0.758
Cl  0.014  0.980  0.258
Cl  0.283  0.747  0.640
Cl  0.283  0.753  0.140
Cl  0.378  0.163  0.440
Cl  0.378  0.337  0.940
Cl  0.622  0.663  0.060
Cl  0.622  0.837  0.560
Cl  0.717  0.247  0.860
Cl  0.717  0.253  0.360
Cl  0.986  0.020  0.742
Cl  0.986  0.480  0.242